(1)
Density functional theory data (GGA-PBE) for a relaxed structure of TaAlCl2.

Results
volume: 106.88 Å³/f.u.
calculated total energy: -20.771 eV for the cell shown

a b c (Å): 5.1850 5.1850 7.3345
angles (deg): 78.04 78.04 33.72
Fractional positions:
Cl  0.8451  0.8451  0.6679
Cl  0.0323  0.0323  0.1086
Ta  0.4390  0.4390  0.4062
Al  0.1836  0.1836  0.3174

=====

(2)
Density functional theory data (GGA-PBE) for a relaxed structure of Ta2AlCl.

Results
volume: 70.79 Å³/f.u.
calculated total energy: -28.467 eV for the cell shown

a b c (Å): 5.3796 5.3796 4.9605
angles (deg): 69.85 69.85 31.88
Fractional positions:
Ta  0.9832  0.9832  0.0190
Ta  0.7495  0.7495  0.6931
Cl  0.2690  0.2690  0.2642
Al  0.4982  0.4982  0.5238

=====

(3)
Density functional theory data (GGA-PBE) for a relaxed structure of TaAl2Cl.

Results
volume: 68.86 Å³/f.u.
calculated total energy: -20.323 eV for the cell shown

a b c (Å): 5.6363 5.6363 5.6363
angles (deg): 148.87 131.42 58.83
Fractional positions:
Ta  0.2500  0.7500  0.5000
Al  0.4905  0.4905  0.0000
Cl  0.7500  0.2500  0.5000
Al  0.0095  0.0095  0.0000

=====

(4)
Density functional theory data (GGA-PBE) for a relaxed structure of TaAlCl2.

Results
volume: 85.11 Å³/f.u.
calculated total energy: -19.189 eV for the cell shown

a b c (Å): 6.5724 6.5724 6.5724
angles (deg): 153.47 137.61 50.70
Fractional positions:
Cl  0.6790  0.1790  0.5000
Al  0.3188  0.8188  0.5000
Cl  0.9937  0.9937  0.0000
Ta  0.5085  0.5085  0.0000

=====

(5)
Density functional theory data (GGA-PBE) for a relaxed structure of Ta2AlCl.

Results
volume: 70.89 Å³/f.u.
calculated total energy: -29.070 eV for the cell shown

a b c (Å): 2.9323 2.9707 8.1375
angles (deg): 90.02 90.00 90.00
Fractional positions:
Ta  0.0000  0.7502  0.4793
Cl  0.5000  0.7500  0.7500
Al  0.5000  0.2500  0.2500
Ta  0.0000  0.7498  0.0207

=====

(6)
Density functional theory data (GGA-PBE) for a relaxed structure of TaAl2Cl.

Results
volume: 69.00 Å³/f.u.
calculated total energy: -20.247 eV for the cell shown

a b c (Å): 2.9035 4.6123 5.1522
angles (deg): 90.00 90.00 90.00
Fractional positions:
Cl  0.5000  0.0000  0.5000
Al  0.0000  0.0000  0.0000
Al  0.5000  0.5000  0.0000
Ta  0.0000  0.5000  0.5000